Computed, not measured: a relaxed InSiAg crystal at the GGA-PBE level of DFT.

## Properties
Space-group type: No. 1
Energy relative to the elements, uncorrected (meV per atom): 203
Electronic total energy (eV/atom): -3.468

Cell: 7.797 3.873 4.425 Å, 89.95 89.98 80.33°
Fractional positions:
Si 0.223 0.646 0.117
Si 0.026 0.233 0.116
Ag 0.420 0.563 0.616
Ag 0.064 0.865 0.617
In 0.785 0.447 0.615
In 0.553 0.033 0.116

Computed, not measured: a relaxed La2Pd2I crystal at the GGA-PBE level of DFT.

## Properties
Space-group type: No. 127
Energy relative to the elements, uncorrected (meV per atom): -863
Electronic total energy (eV/atom): -5.221
Energy above the lowest structure with this stoichiometry (eV per atom): 0.0777

Cell: 8.323 8.323 3.814 Å, 90.00 90.00 90.00°
Fractional positions:
I 0.000 0.000 0.000
I 0.500 0.500 0.000
Pd 0.379 0.879 0.000
Pd 0.879 0.621 0.000
Pd 0.621 0.121 0.000
Pd 0.121 0.379 0.000
La 0.170 0.670 0.500
La 0.670 0.830 0.500
La 0.830 0.330 0.500
La 0.330 0.170 0.500

Computed, not measured: a relaxed Pm3Ho5H12 crystal at the GGA-PBE level of DFT.

## Properties
Space-group type: No. 230
Electronic total energy (eV/atom): -4.331

Cell: 11.423 11.423 11.423 Å, 109.47 109.47 109.47°
Fractional positions:
Pm 0.750 0.375 0.125
Pm 0.875 0.750 0.125
Pm 0.375 0.750 0.625
Pm 0.250 0.125 0.375
Pm 0.875 0.125 0.250
Pm 0.375 0.625 0.250
Pm 0.625 0.375 0.750
Pm 0.125 0.875 0.750
Pm 0.750 0.875 0.625
Pm 0.625 0.250 0.375
Pm 0.125 0.250 0.875
Pm 0.250 0.625 0.875
Ho 0.125 0.375 0.250
Ho 0.000 0.500 0.000
Ho 0.000 0.000 0.000
Ho 0.375 0.250 0.125
Ho 0.500 0.000 0.500
Ho 0.500 0.500 0.000
Ho 0.125 0.750 0.375
Ho 0.750 0.125 0.875
Ho 0.750 0.625 0.375
Ho 0.375 0.125 0.750
Ho 0.625 0.875 0.250
Ho 0.500 0.500 0.500
Ho 0.500 0.000 0.000
Ho 0.000 0.000 0.500
Ho 0.250 0.375 0.625
Ho 0.250 0.875 0.125
Ho 0.000 0.500 0.500
Ho 0.875 0.250 0.625
Ho 0.625 0.750 0.875
Ho 0.875 0.625 0.750
H 0.720 0.147 0.060
H 0.340 0.560 0.414
H 0.940 0.353 0.280
H 0.560 0.220 0.147
H 0.574 0.720 0.660
H 0.940 0.586 0.160
H 0.340 0.780 0.426
H 0.086 0.926 0.147
H 0.586 0.940 0.660
H 0.720 0.574 0.160
H 0.780 0.440 0.353
H 0.840 0.914 0.060
H 0.147 0.720 0.560
H 0.353 0.414 0.074
H 0.074 0.914 0.353
H 0.426 0.147 0.586
H 0.074 0.160 0.220
H 0.440 0.660 0.086
H 0.840 0.926 0.280
H 0.147 0.426 0.086
H 0.353 0.940 0.780
H 0.586 0.647 0.426
H 0.914 0.840 0.560
H 0.780 0.340 0.926
H 0.414 0.353 0.574
H 0.086 0.160 0.440
H 0.220 0.660 0.074
H 0.160 0.074 0.720
H 0.647 0.060 0.220
H 0.853 0.574 0.914
H 0.560 0.340 0.914
H 0.574 0.853 0.414
H 0.926 0.840 0.780
H 0.926 0.086 0.647
H 0.853 0.280 0.440
H 0.160 0.086 0.940
H 0.647 0.586 0.926
H 0.414 0.060 0.340
H 0.280 0.426 0.840
H 0.220 0.560 0.647
H 0.914 0.074 0.853
H 0.660 0.220 0.574
H 0.440 0.780 0.853
H 0.060 0.414 0.840
H 0.426 0.280 0.340
H 0.060 0.647 0.720
H 0.660 0.440 0.586
H 0.280 0.853 0.940

Q: Which of these has the lowest electronic total energy?
A: La2Pd2I

Copy entry 3 word for word.
Computed, not measured: a relaxed Pm3Ho5H12 crystal at the GGA-PBE level of DFT.

## Properties
Space-group type: No. 230
Electronic total energy (eV/atom): -4.331

Cell: 11.423 11.423 11.423 Å, 109.47 109.47 109.47°
Fractional positions:
Pm 0.750 0.375 0.125
Pm 0.875 0.750 0.125
Pm 0.375 0.750 0.625
Pm 0.250 0.125 0.375
Pm 0.875 0.125 0.250
Pm 0.375 0.625 0.250
Pm 0.625 0.375 0.750
Pm 0.125 0.875 0.750
Pm 0.750 0.875 0.625
Pm 0.625 0.250 0.375
Pm 0.125 0.250 0.875
Pm 0.250 0.625 0.875
Ho 0.125 0.375 0.250
Ho 0.000 0.500 0.000
Ho 0.000 0.000 0.000
Ho 0.375 0.250 0.125
Ho 0.500 0.000 0.500
Ho 0.500 0.500 0.000
Ho 0.125 0.750 0.375
Ho 0.750 0.125 0.875
Ho 0.750 0.625 0.375
Ho 0.375 0.125 0.750
Ho 0.625 0.875 0.250
Ho 0.500 0.500 0.500
Ho 0.500 0.000 0.000
Ho 0.000 0.000 0.500
Ho 0.250 0.375 0.625
Ho 0.250 0.875 0.125
Ho 0.000 0.500 0.500
Ho 0.875 0.250 0.625
Ho 0.625 0.750 0.875
Ho 0.875 0.625 0.750
H 0.720 0.147 0.060
H 0.340 0.560 0.414
H 0.940 0.353 0.280
H 0.560 0.220 0.147
H 0.574 0.720 0.660
H 0.940 0.586 0.160
H 0.340 0.780 0.426
H 0.086 0.926 0.147
H 0.586 0.940 0.660
H 0.720 0.574 0.160
H 0.780 0.440 0.353
H 0.840 0.914 0.060
H 0.147 0.720 0.560
H 0.353 0.414 0.074
H 0.074 0.914 0.353
H 0.426 0.147 0.586
H 0.074 0.160 0.220
H 0.440 0.660 0.086
H 0.840 0.926 0.280
H 0.147 0.426 0.086
H 0.353 0.940 0.780
H 0.586 0.647 0.426
H 0.914 0.840 0.560
H 0.780 0.340 0.926
H 0.414 0.353 0.574
H 0.086 0.160 0.440
H 0.220 0.660 0.074
H 0.160 0.074 0.720
H 0.647 0.060 0.220
H 0.853 0.574 0.914
H 0.560 0.340 0.914
H 0.574 0.853 0.414
H 0.926 0.840 0.780
H 0.926 0.086 0.647
H 0.853 0.280 0.440
H 0.160 0.086 0.940
H 0.647 0.586 0.926
H 0.414 0.060 0.340
H 0.280 0.426 0.840
H 0.220 0.560 0.647
H 0.914 0.074 0.853
H 0.660 0.220 0.574
H 0.440 0.780 0.853
H 0.060 0.414 0.840
H 0.426 0.280 0.340
H 0.060 0.647 0.720
H 0.660 0.440 0.586
H 0.280 0.853 0.940

Q: What is the electronic total energy in the third record?
A: -4.331 eV/atom

Q: The lowest electronic total energy belongs to which entry?
A: La2Pd2I